1.
The following is a DFT calculation (GGA-PBEsol) of crystalline Sc2TePb at its relaxed geometry.

Lattice parameters (Å, degrees): 5.0956 5.0956 5.0956 60.00 60.00 60.00
Closest atoms and distances in Å follow each position.
Atoms (fractional coordinates):
Sc (0.2500, 0.2500, 0.2500)  4 Pb 3.12, 4 Te 3.12
Te (0.5000, 0.5000, 0.5000)  8 Sc 3.12
Pb (0.0000, 0.0000, 0.0000)  8 Sc 3.12
Sc (0.7500, 0.7500, 0.7500)  4 Pb 3.12, 4 Te 3.12

Output
Relative energy among the computed polymorphs: 252 meV per atom
Raw formation energy: -53 kJ per mole of atoms
Final energy: -5.735 eV/atom
Calculated volume: 93.6 Å³/cell
Space group: Fm-3m (225)
D(E_F): 1.09 states/eV/atom


2.
The following is a DFT calculation (GGA-PBEsol) of crystalline Sc2TePb at its relaxed geometry.

Lattice parameters (Å, degrees): 4.1219 4.1219 7.2155 73.40 73.40 60.00
Closest atoms and distances in Å follow each position.
Atoms (fractional coordinates):
Sc (0.2521, 0.2521, 0.2436)  3 Pb 2.90, 3 Te 2.95
Sc (0.7479, 0.7479, 0.7564)  3 Pb 2.90, 3 Te 2.95
Te (0.5000, 0.5000, 0.5000)  6 Sc 2.95
Pb (0.0000, 0.0000, 0.0000)  6 Sc 2.90

Output
Relative energy among the computed polymorphs: 0 meV per atom
Raw formation energy: -78 kJ per mole of atoms
Final energy: -5.987 eV/atom
Calculated volume: 100.2 Å³/cell
Space group: R-3m (166)
D(E_F): 0.29 states/eV/atom


3.
The following is a DFT calculation (GGA-PBEsol) of crystalline ScTlPb2 at its relaxed geometry.

Lattice parameters (Å, degrees): 3.3977 5.5687 5.5687 100.90 89.96 89.96
Closest atoms and distances in Å follow each position.
Atoms (fractional coordinates):
Pb (0.0000, 0.0000, 0.5000)  4 Tl 3.26, 4 Sc 3.26, 4 Pb 3.40-3.55
Pb (0.0000, 0.5000, 0.0000)  4 Sc 3.26, 4 Tl 3.26, 4 Pb 3.40-3.55
Sc (0.5000, 0.0000, 0.0000)  8 Pb 3.26, 2 Sc 3.40, 2 Tl 3.55
Tl (0.5000, 0.5000, 0.5000)  8 Pb 3.26, 2 Tl 3.40, 2 Sc 3.55

Output
Final energy: -4.462 eV/atom
Calculated volume: 103.5 Å³/cell
Calculated formation energy: -154 meV/atom
Space group: Cmmm (65)
D(E_F): 0.71 states/eV/atom


4.
The following is a DFT calculation (GGA-PBEsol) of crystalline ScTlPb2 at its relaxed geometry.

Lattice parameters (Å, degrees): 3.5016 4.5120 6.6095 90.00 90.00 90.00
Closest atoms and distances in Å follow each position.
Atoms (fractional coordinates):
Sc (0.5000, 0.5000, 0.0000)  8 Pb 3.25, 2 Tl 3.30, 2 Sc 3.50
Pb (0.0000, 0.0000, 0.2343)  1 Pb 3.10, 4 Sc 3.25, 4 Tl 3.35
Pb (0.0000, 0.0000, 0.7657)  1 Pb 3.10, 4 Sc 3.25, 4 Tl 3.35
Tl (0.5000, 0.5000, 0.5000)  2 Sc 3.30, 8 Pb 3.35, 2 Tl 3.50

Output
Final energy: -4.475 eV/atom
Calculated volume: 104.4 Å³/cell
Calculated formation energy: -167 meV/atom
Space group: Pmmm (47)
D(E_F): 0.56 states/eV/atom


5.
The following is a DFT calculation (GGA-PBEsol) of crystalline ScTlPb2 at its relaxed geometry.

Lattice parameters (Å, degrees): 3.3375 3.3376 9.6064 90.00 90.00 90.00
Closest atoms and distances in Å follow each position.
Atoms (fractional coordinates):
Sc (0.5000, 0.5000, 0.5000)  8 Pb 3.19, 4 Sc 3.34
Pb (0.0000, 0.0000, 0.7241)  4 Sc 3.19, 4 Pb 3.34, 4 Tl 3.55
Pb (0.0000, 0.0000, 0.2759)  4 Sc 3.19, 4 Pb 3.34, 4 Tl 3.55
Tl (0.5000, 0.5000, 0.0000)  4 Tl 3.34, 8 Pb 3.55

Output
Final energy: -4.460 eV/atom
Calculated volume: 107.0 Å³/cell
Calculated formation energy: -152 meV/atom
Space group: P4/mmm (123)
D(E_F): 0.75 states/eV/atom


6.
The following is a DFT calculation (GGA-PBEsol) of crystalline ScPbW2 at its relaxed geometry.

Lattice parameters (Å, degrees): 3.3992 4.5221 5.4755 113.72 108.08 90.00
Closest atoms and distances in Å follow each position.
Atoms (fractional coordinates):
Pb (0.5000, 0.0000, 0.0000)  4 Sc 2.83, 4 W 2.95
W (0.2552, 0.2538, 0.5103)  4 W 2.82-2.84, 2 Sc 2.87, 2 Pb 2.95
Sc (0.0000, 0.5000, 0.0000)  4 Pb 2.83, 4 W 2.87
W (0.7448, 0.7462, 0.4897)  4 W 2.82-2.84, 2 Sc 2.87, 2 Pb 2.95

Output
Final energy: -9.076 eV/atom
Calculated volume: 72.5 Å³/cell
Calculated formation energy: 479 meV/atom
Space group: C2/m (12)
D(E_F): 0.80 states/eV/atom


Listing magnetization for the structures above in their given order: 0.00; 0.00; 0.00; 0.00; 0.01; 0.00 μB per cell.